[1]
LiAl2I8 | GGA-PBE | optimized geometry

**N(E_F)**: 1.703 states/eV per atom
**Crystal system**: monoclinic
**Distance to the lowest polymorph of the same formula**: 0.000 eV per atom

Cell lengths 13.8148, 10.9737, 6.9529 Å; angles 90.00, 93.41, 90.00 degrees
Space group C2/m (No. 12)
Asymmetric unit:
1 Li 0.0000 0.0000 0.0000 x2
2 Al 0.1918 0.0000 0.6582 x4
3 I 0.0999 0.1864 0.7781 x8
4 I 0.1332 0.5000 0.2055 x4
5 I 0.1933 0.0000 0.2898 x4



[2]
LiAl2I | GGA-PBE | optimized geometry

**N(E_F)**: 0.533 states/eV per atom
**Crystal system**: tetragonal
**Distance to the lowest polymorph of the same formula**: 0.000 eV per atom

Cell lengths 8.4803, 8.4803, 5.5264 Å; angles 90.00, 90.00, 90.00 degrees
Space group I-42d (No. 122)
Asymmetric unit:
1 Li 0.0000 0.0000 0.0000 x4
2 Al 0.2332 0.7500 0.1250 x8
3 I 0.0000 0.0000 0.5000 x4



[3]
Li3AlI6 | GGA-PBE | optimized geometry

**DFT total energy**: -2.812 eV/atom
**N(E_F)**: 0.000 states/eV per atom
**Crystal system**: orthorhombic

Cell lengths 12.3673, 14.8301, 8.2746 Å; angles 90.00, 90.00, 90.00 degrees
Space group Cmc2_1 (No. 36)
Asymmetric unit:
1 Li 0.0000 0.0492 0.0000 x4
2 Li 0.2321 0.4155 0.9729 x8
3 Al 0.0000 0.3154 0.3730 x4
4 I 0.0000 0.2652 0.0731 x4
5 I 0.0000 0.4900 0.3872 x4
6 I 0.1618 0.0058 0.7340 x8
7 I 0.1729 0.2650 0.5157 x8



[4]
LiAl2I8 | GGA-PBE | optimized geometry

**N(E_F)**: 1.657 states/eV per atom
**Crystal system**: trigonal
**Distance to the lowest polymorph of the same formula**: 0.067 eV per atom

Cell lengths 8.3401, 8.3401, 8.9549 Å; angles 90.00, 90.00, 120.00 degrees
Space group P-3m1 (No. 164)
Asymmetric unit:
1 Li 0.0000 0.0000 0.0000 x1
2 Al 0.3333 0.6667 0.2996 x2
3 I 0.1641 0.3281 0.2121 x6
4 I 0.3333 0.6667 0.5821 x2



[5]
Li2AlI6 | GGA-PBE | optimized geometry

**DFT total energy**: -2.639 eV/atom
**Crystal system**: monoclinic

Cell lengths 14.6750, 16.2884, 8.2336 Å; angles 90.00, 118.29, 90.00 degrees
Space group C2/c (No. 15)
Asymmetric unit:
1 Li 0.1787 0.0882 0.3755 x8
2 Al 0.0000 0.3232 0.2500 x4
3 I 0.1100 0.0459 0.6292 x8
4 I 0.1113 0.4142 0.5308 x8
5 I 0.1198 0.2368 0.1703 x8



[6]
Li2Al2I7 | GGA-PBE | optimized geometry

**DFT total energy**: -2.730 eV/atom
**N(E_F)**: 0.176 states/eV per atom
**Crystal system**: monoclinic

Cell lengths 11.5632, 11.8239, 14.3333 Å; angles 90.00, 110.11, 90.00 degrees
Space group C2/c (No. 15)
Asymmetric unit:
1 Li 0.1611 0.0797 0.4671 x8
2 Al 0.2503 0.2344 0.8005 x8
3 I 0.0000 0.2679 0.7500 x4
4 I 0.1065 0.0951 0.1030 x8
5 I 0.1717 0.4460 0.0931 x8
6 I 0.1864 0.2915 0.3594 x8



[7]
LiAlIN2 | GGA-PBE | optimized geometry

**N(E_F)**: 0.511 states/eV per atom
**Crystal system**: tetragonal
**Distance to the lowest polymorph of the same formula**: 1.232 eV per atom

Cell lengths 4.2806, 4.2806, 5.3935 Å; angles 90.00, 90.00, 90.00 degrees
Space group P4/mmm (No. 123)
Asymmetric unit:
1 Li 0.0000 0.0000 0.0000 x1
2 Al 0.5000 0.5000 0.5000 x1
3 I 0.0000 0.0000 0.5000 x1
4 N 0.0000 0.5000 0.0000 x2



[8]
LiAlIN2 | GGA-PBE | optimized geometry

**N(E_F)**: 0.425 states/eV per atom
**Crystal system**: tetragonal
**Distance to the lowest polymorph of the same formula**: 0.000 eV per atom

Cell lengths 3.7648, 3.7648, 6.5600 Å; angles 90.00, 90.00, 90.00 degrees
Space group P4/mmm (No. 123)
Asymmetric unit:
1 Li 0.0000 0.0000 0.0000 x1
2 Al 0.5000 0.5000 0.5000 x1
3 I 0.5000 0.5000 0.0000 x1
4 N 0.0000 0.5000 0.5000 x2



[9]
NaLiAlI5 | GGA-PBE | optimized geometry

**DFT total energy**: -2.756 eV/atom
**N(E_F)**: 0.000 states/eV per atom
**Crystal system**: monoclinic

Cell lengths 11.1238, 12.5619, 10.2972 Å; angles 90.00, 112.96, 90.00 degrees
Space group C2/c (No. 15)
Asymmetric unit:
1 Na 0.0000 0.1754 0.2500 x4
2 Li 0.0000 0.5000 0.0000 x4
3 Al 0.0000 0.1518 0.7500 x4
4 I 0.0000 0.4202 0.2500 x4
5 I 0.1096 0.2681 0.6226 x8
6 I 0.1701 0.0303 0.9311 x8



[10]
NaLiAlI2 | GGA-PBE | optimized geometry

**DFT total energy**: -2.264 eV/atom
**N(E_F)**: 0.413 states/eV per atom
**Crystal system**: tetragonal

Cell lengths 6.1376, 6.1376, 5.0856 Å; angles 90.00, 90.00, 90.00 degrees
Space group P4/mmm (No. 123)
Asymmetric unit:
1 Na 0.0000 0.0000 0.0000 x1
2 Li 0.5000 0.5000 0.0000 x1
3 Al 0.5000 0.5000 0.5000 x1
4 I 0.0000 0.5000 0.5000 x2



[11]
LiAlIO2 | GGA-PBE | optimized geometry

**N(E_F)**: 0.630 states/eV per atom
**Crystal system**: tetragonal
**Distance to the lowest polymorph of the same formula**: 0.000 eV per atom

Cell lengths 3.6647, 3.6647, 6.4737 Å; angles 90.00, 90.00, 90.00 degrees
Space group P4/mmm (No. 123)
Asymmetric unit:
1 Li 0.0000 0.0000 0.0000 x1
2 Al 0.5000 0.5000 0.5000 x1
3 I 0.5000 0.5000 0.0000 x1
4 O 0.0000 0.5000 0.5000 x2



[12]
LiAlIO2 | GGA-PBE | optimized geometry

**N(E_F)**: 1.220 states/eV per atom
**Crystal system**: tetragonal
**Distance to the lowest polymorph of the same formula**: 1.531 eV per atom

Cell lengths 3.9159, 3.9159, 5.0914 Å; angles 90.00, 90.00, 90.00 degrees
Space group P4/mmm (No. 123)
Asymmetric unit:
1 Li 0.0000 0.0000 0.0000 x1
2 Al 0.5000 0.5000 0.5000 x1
3 I 0.0000 0.0000 0.5000 x1
4 O 0.0000 0.5000 0.0000 x2